VASP calculation (PBE with a Hubbard U) on a relaxed structure of Fe3AuO.

## Properties
crystal system: cubic
calculated volume: 123 Å³ per cell
electronic total energy: -3.75 eV per atom
magnetic moment: 12.70 μB per formula unit

Lattice parameters (Å, degrees): 4.9755 4.9755 4.9755 90.00 90.00 90.00
Space group Pm-3m (No. 221)
Asymmetric unit:
Fe 0.0000 0.0000 0.5000 (multiplicity 3)
Au 0.0000 0.0000 0.0000 (multiplicity 1)
O 0.5000 0.5000 0.5000 (multiplicity 1)